VASP calculation (PBEsol) on LiZnAu3 after structural relaxation.

Properties
SG ... Pm-3m
Magnetic moment ... 0.0 Bohr magnetons per cell
DFT formation energy ... 0.3604 eV/atom
Calculated density ... 13.2 g/cm³

abc: 4.373 4.373 4.373
angles: 90.00 90.00 90.00
Positions (direct):
Li 0.000 0.000 0.000
Au 0.000 0.500 0.000
Au 0.500 0.000 0.000
Au 0.000 0.000 0.500
Zn 0.500 0.500 0.500

---

VASP calculation (PBEsol) on LiZnAu2 after structural relaxation.

Properties
SG ... Pmmm
Magnetic moment ... 0.0 Bohr magnetons per cell
DFT formation energy ... -0.3866 eV/atom
Calculated density ... 13.0 g/cm³

abc: 3.000 3.426 5.786
angles: 90.00 90.00 90.00
Positions (direct):
Au 0.000 0.000 0.747
Au 0.000 0.000 0.253
Zn 0.500 0.500 0.000
Li 0.500 0.500 0.500

---

VASP calculation (PBEsol) on LiZnAu2 after structural relaxation.

Properties
SG ... I-4m2
Magnetic moment ... 0.0 Bohr magnetons per cell
DFT formation energy ... -0.4096 eV/atom
Calculated density ... 12.9 g/cm³

abc: 3.820 3.820 4.922
angles: 112.83 112.83 90.00
Positions (direct):
Zn 0.750 0.250 0.500
Au 0.250 0.750 0.500
Au 0.000 0.000 0.000
Li 0.500 0.500 0.000

---

Which of these has the lowest DFT formation energy? number 3